# 1
Computed, not measured: CuTe2W after structural relaxation at the PBE level of DFT.

a = 4.2735 Å, b = 2.9756 Å, c = 7.2592 Å
α = 113.14°, β = 90.00°, γ = 90.00°
Fractional coordinates of all 4 atoms:
Te (0.0000, 0.7581, 0.0050)
Cu (0.5000, 0.7500, 0.7500)
Te (0.0000, 0.7419, 0.4950)
W (0.5000, 0.2500, 0.2500)

Calculated values
**E_tot**: -5.06 eV per atom
**Crystal system**: monoclinic



# 2
Computed, not measured: Ho5Ir2Pb after structural relaxation at the PBE level of DFT.

a = 7.7769 Å, b = 7.7769 Å, c = 8.7224 Å
α = 116.47°, β = 116.47°, γ = 90.00°
Fractional coordinates of all 16 atoms:
Ho (0.2897, 0.7897, 0.2638)
Ir (0.8599, 0.6401, 0.0000)
Ho (0.5259, 0.7103, 0.7362)
Ho (0.0000, 0.0000, 0.0000)
Ho (0.2103, 0.0259, 0.7362)
Pb (0.2500, 0.2500, 0.5000)
Ir (0.3599, 0.8599, 0.0000)
Ir (0.6401, 0.1401, 0.0000)
Ir (0.1401, 0.3599, 0.0000)
Ho (0.0259, 0.5259, 0.7362)
Ho (0.7103, 0.2103, 0.7362)
Pb (0.7500, 0.7500, 0.5000)
Ho (0.4741, 0.2897, 0.2638)
Ho (0.9741, 0.4741, 0.2638)
Ho (0.5000, 0.5000, 0.0000)
Ho (0.7897, 0.9741, 0.2638)

Calculated values
**E_tot**: -6.25 eV per atom
**ΔE_f**: -0.712 eV/atom
**Crystal system**: tetragonal



# 3
Computed, not measured: KMn2Ni after structural relaxation at the PBE level of DFT.

a = 4.5934 Å, b = 4.5934 Å, c = 7.1216 Å
α = 84.09°, β = 84.09°, γ = 36.77°
Fractional coordinates of all 4 atoms:
Mn (0.7566, 0.7566, 0.7143)
Mn (0.0171, 0.0171, 0.8933)
Ni (0.4862, 0.4862, 0.6288)
K (0.2401, 0.2401, 0.2636)

Calculated values
**E_tot**: -5.64 eV per atom
**ΔE_f**: 0.668 eV/atom
**Crystal system**: monoclinic



# 4
Computed, not measured: V2CdSb after structural relaxation at the PBE level of DFT.

a = 3.9839 Å, b = 3.9839 Å, c = 10.2517 Å
α = 78.80°, β = 78.80°, γ = 90.00°
Fractional coordinates of all 8 atoms:
V (0.6649, 0.1250, 0.2500)
Cd (0.5000, 0.5000, 0.0000)
V (0.0851, 0.6250, 0.2500)
Sb (0.0000, 0.0000, 0.0000)
V (0.8750, 0.9149, 0.7500)
Cd (0.2500, 0.7500, 0.5000)
V (0.3750, 0.3351, 0.7500)
Sb (0.7500, 0.2500, 0.5000)

Calculated values
**E_tot**: -5.14 eV per atom
**Crystal system**: tetragonal



# 5
Computed, not measured: Ho6InGe2S3 after structural relaxation at the PBE level of DFT.

a = 4.0256 Å, b = 8.2193 Å, c = 9.2434 Å
α = 108.46°, β = 102.58°, γ = 90.00°
Fractional coordinates of all 12 atoms:
Ho (0.9925, 0.2724, 0.9850)
Ho (0.6690, 0.5711, 0.3381)
Ge (0.8404, 0.6857, 0.6807)
Ho (0.6745, 0.0763, 0.3491)
Ho (0.3310, 0.4289, 0.6619)
Ho (0.3255, 0.9237, 0.6509)
S (0.1682, 0.8233, 0.3364)
Ho (0.0075, 0.7276, 0.0150)
S (0.8318, 0.1767, 0.6636)
S (0.5000, 0.5000, 0.0000)
Ge (0.1596, 0.3143, 0.3193)
In (0.5000, 0.0000, 0.0000)

Calculated values
**E_tot**: -5.64 eV per atom
**Crystal system**: monoclinic



# 6
Computed, not measured: HfTc2HgO after structural relaxation at the PBE level of DFT.

a = 5.1026 Å, b = 3.9479 Å, c = 5.1026 Å
α = 90.00°, β = 90.00°, γ = 90.00°
Fractional coordinates of all 5 atoms:
Tc (0.5000, 0.0000, 0.0000)
Tc (0.0000, 0.0000, 0.5000)
Hg (0.0000, 0.0000, 0.0000)
O (0.0000, 0.5000, 0.0000)
Hf (0.5000, 0.5000, 0.5000)

Calculated values
**E_tot**: -5.58 eV per atom
**Crystal system**: tetragonal



# 7
Computed, not measured: TaCrCo2 after structural relaxation at the PBE level of DFT.

a = 2.6469 Å, b = 2.6469 Å, c = 7.3811 Å
α = 90.00°, β = 90.00°, γ = 90.00°
Fractional coordinates of all 4 atoms:
Cr (0.0000, 0.0000, 0.4656)
Co (0.0000, 0.0000, 0.0322)
Co (0.5000, 0.5000, 0.2446)
Ta (0.5000, 0.5000, 0.7576)

Calculated values
**E_tot**: -8.78 eV per atom
**ΔE_f**: 0.146 eV/atom
**Crystal system**: tetragonal



# 8
Computed, not measured: LiTbCoRu after structural relaxation at the PBE level of DFT.

a = 4.4819 Å, b = 4.4819 Å, c = 4.4819 Å
α = 60.00°, β = 60.00°, γ = 60.00°
Fractional coordinates of all 4 atoms:
Tb (0.7500, 0.7500, 0.7500)
Co (0.5000, 0.5000, 0.5000)
Ru (0.2500, 0.2500, 0.2500)
Li (0.0000, 0.0000, 0.0000)

Calculated values
**E_tot**: -5.64 eV per atom
**ΔE_f**: 0.091 eV/atom
**Crystal system**: cubic



# 9
Computed, not measured: InAg7F12 after structural relaxation at the PBE level of DFT.

a = 6.7537 Å, b = 7.7840 Å, c = 7.7840 Å
α = 68.00°, β = 73.19°, γ = 106.81°
Fractional coordinates of all 20 atoms:
Ag (0.1162, 0.4383, 0.1320)
F (0.6807, 0.8811, 0.2580)
F (0.3193, 0.1189, 0.7420)
Ag (0.6779, 0.4297, 0.4383)
F (0.2005, 0.1392, 0.1189)
F (0.6979, 0.5449, 0.6497)
F (0.3021, 0.4551, 0.3503)
F (0.1530, 0.8054, 0.5449)
F (0.6524, 0.3503, 0.1946)
F (0.0613, 0.7420, 0.1392)
F (0.8470, 0.1946, 0.4551)
F (0.9387, 0.2580, 0.8608)
F (0.3476, 0.6497, 0.8054)
In (0.0000, 0.0000, 0.0000)
Ag (0.2482, 0.1320, 0.4297)
Ag (0.8838, 0.5617, 0.8680)
F (0.7995, 0.8608, 0.8811)
Ag (0.7518, 0.8680, 0.5703)
Ag (0.5000, 0.0000, 0.0000)
Ag (0.3221, 0.5703, 0.5617)

Calculated values
**E_tot**: -3.55 eV per atom
**Crystal system**: trigonal



# 10
Computed, not measured: Tm4Te2AsC after structural relaxation at the PBE level of DFT.

a = 3.9590 Å, b = 6.9574 Å, c = 7.2727 Å
α = 108.37°, β = 90.00°, γ = 90.00°
Fractional coordinates of all 8 atoms:
C (0.5000, 0.5000, 0.0000)
Tm (0.5000, 0.7341, 0.7987)
Tm (0.5000, 0.2659, 0.2013)
Te (0.5000, 0.0000, 0.5000)
As (0.0000, 0.0000, 0.0000)
Tm (0.0000, 0.7101, 0.1958)
Te (0.0000, 0.5000, 0.5000)
Tm (0.0000, 0.2899, 0.8042)

Calculated values
**E_tot**: -5.89 eV per atom
**Crystal system**: monoclinic



# 11
Computed, not measured: ScRh3 after structural relaxation at the PBE level of DFT.

a = 4.6833 Å, b = 4.6833 Å, c = 2.8889 Å
α = 90.00°, β = 90.00°, γ = 106.36°
Fractional coordinates of all 4 atoms:
Rh (0.5000, 0.0000, 0.5000)
Rh (0.0000, 0.5000, 0.5000)
Rh (0.0000, 0.0000, 0.0000)
Sc (0.5000, 0.5000, 0.0000)

Calculated values
**E_tot**: -7.62 eV per atom
**ΔE_f**: -0.523 eV/atom
**Crystal system**: orthorhombic



# 12
Computed, not measured: SrBeTe2N after structural relaxation at the PBE level of DFT.

a = 5.9128 Å, b = 5.9128 Å, c = 3.2200 Å
α = 90.00°, β = 90.00°, γ = 90.00°
Fractional coordinates of all 5 atoms:
Be (0.0000, 0.0000, 0.0000)
N (0.0000, 0.0000, 0.5000)
Sr (0.5000, 0.5000, 0.5000)
Te (0.0000, 0.5000, 0.0000)
Te (0.5000, 0.0000, 0.0000)

Calculated values
**E_tot**: -4.23 eV per atom
**Crystal system**: tetragonal